1.
Compound: Pm2YScBi4
Source: the Alexandria database
Functional: GGA-PBE
Structure: optimized geometry

a = 4.4877 Å, b = 7.7685 Å, c = 7.7497 Å
α = 109.53°, β = 90.00°, γ = 90.00°
Fractional positions:
Y: 0.0000 0.0000 0.0000
Bi: 0.0000 0.7382 0.2339
Sc: 0.5000 0.5000 0.0000
Bi: 0.5000 0.7471 0.7613
Bi: 0.5000 0.2529 0.2387
Bi: 0.0000 0.2618 0.7661
Pm: 0.5000 0.0000 0.5000
Pm: 0.0000 0.5000 0.5000

Computed properties:
As for the crystal system: monoclinic. The value obtained for the magnetization is 0.000 μB per formula unit. The density of states at the Fermi level comes out at 1.4 states/eV per cell. Its space group is P2/m, No. 10. The energy relative to the elements comes out at -0.847 eV per atom.

=====

2.
Compound: NaFeAgCl5
Source: the Alexandria database
Functional: GGA-PBE
Structure: optimized geometry

a = 7.2829 Å, b = 7.2829 Å, c = 9.9612 Å
α = 107.94°, β = 107.94°, γ = 91.82°
Last column: magnetic moment on the atom in μB.
Fractional positions:
Cl: 0.3498 0.8800 0.6539  0.21
Ag: 0.3400 0.6600 0.2500  0.04
Cl: 0.8913 0.1087 0.7500  0.01
Cl: 0.3562 0.3150 0.0717  0.16
Cl: 0.6502 0.1200 0.3461  0.21
Na: 0.0000 0.0000 0.0000  0.00
Cl: 0.8800 0.3498 0.1539  0.21
Ag: 0.6600 0.3400 0.7500  0.04
Na: 0.0000 0.0000 0.5000  0.00
Fe: 0.6463 0.3537 0.2500  3.73
Cl: 0.6850 0.6438 0.4283  0.16
Cl: 0.6438 0.6850 0.9283  0.16
Cl: 0.1087 0.8913 0.2500  0.01
Fe: 0.3537 0.6463 0.7500  3.73
Cl: 0.3150 0.3562 0.5717  0.16
Cl: 0.1200 0.6502 0.8461  0.21

Computed properties:
As for the crystal system: monoclinic. The value obtained for the magnetization is 4.940 μB per formula unit. The value obtained for the energy relative to the elements, uncorrected is -932.9 meV per atom. Its space group is C2/c, No. 15.

=====

What did the first record say?
Compound: Pm2YScBi4
Source: the Alexandria database
Functional: GGA-PBE
Structure: optimized geometry

a = 4.4877 Å, b = 7.7685 Å, c = 7.7497 Å
α = 109.53°, β = 90.00°, γ = 90.00°
Fractional positions:
Y: 0.0000 0.0000 0.0000
Bi: 0.0000 0.7382 0.2339
Sc: 0.5000 0.5000 0.0000
Bi: 0.5000 0.7471 0.7613
Bi: 0.5000 0.2529 0.2387
Bi: 0.0000 0.2618 0.7661
Pm: 0.5000 0.0000 0.5000
Pm: 0.0000 0.5000 0.5000

Computed properties:
As for the crystal system: monoclinic. The value obtained for the magnetization is 0.000 μB per formula unit. The density of states at the Fermi level comes out at 1.4 states/eV per cell. Its space group is P2/m, No. 10. The energy relative to the elements comes out at -0.847 eV per atom.

=====

> Number 1 is which compound?

Pm2YScBi4

=====

> Among the records above, which one has the highest magnetization?

NaFeAgCl5